# 1
## Tm2Ga3Pd (PBE-GGA)

Data for a relaxed structure of Tm2Ga3Pd.

**Total moment**: 0.00 μB per atom
**Symmetry**: Cm, No. 8
**Formation energy from the elements**: -4.57 eV/f.u.

a b c (Å): 4.411 5.569 5.678
angles (deg): 77.26 67.15 66.67
Atoms (fractional coordinates):
Ga1 0.163 0.776 0.897
Ga2 0.835 0.217 0.113
Ga3 0.840 0.619 0.700
Pd1 0.165 0.381 0.289
Tm1 0.539 0.215 0.707
Tm2 0.457 0.792 0.295

---

# 2
## Tm6Ga2Pd (PBE-GGA)

Data for a relaxed structure of Tm6Ga2Pd.

**Total moment**: 0.00 μB per atom
**Symmetry**: Immm, No. 71
**Formation energy from the elements**: -3.12 eV/f.u.

a b c (Å): 4.833 6.922 8.444
angles (deg): 114.20 106.61 90.00
Atoms (fractional coordinates):
Tm1 0.164 0.409 0.327
Tm2 0.836 0.591 0.673
Tm3 0.500 0.757 0.000
Tm4 0.164 0.918 0.327
Tm5 0.836 0.082 0.673
Tm6 0.500 0.243 0.000
Ga1 0.332 0.332 0.665
Ga2 0.668 0.668 0.335
Pd1 0.000 0.000 0.000